# LaCd2Pd

LaCd2Pd after structural relaxation (PBE, Alexandria).

Calculated values
* total magnetization: 0.00 μB per formula unit
* total energy: -3.580 eV per atom

Cell lengths 4.2661, 8.7166, 5.5216 Å; angles 90.00, 112.61, 90.00 degrees
Last column: nearest neighbours and their distance in Å.
Space group P2_1/m (No. 11)
Unique sites:
La 0.0638 0.2500 0.1287 [2 per cell]  3 Pd 2.91-3.06
Cd 0.3546 0.0461 0.7093 [4 per cell]  3 Pd 2.88-2.92, 3 Cd 3.07-3.12
Pd 0.2207 0.7500 0.4419 [2 per cell]  6 Cd 2.88-2.92, 3 La 2.91-3.06

---

# Zr4CSe

Zr4CSe after structural relaxation (PBE, Alexandria).

Calculated values
* total magnetization: 0.00 μB per formula unit
* total energy: -8.429 eV per atom

Cell lengths 7.2763, 13.3324, 6.0528 Å; angles 90.00, 124.72, 90.00 degrees
Last column: nearest neighbours and their distance in Å.
Space group C2/c (No. 15)
Unique sites:
Zr 0.1931 0.1950 0.2318 [8 per cell]  1 C 2.31
Zr 0.2161 0.0559 0.7133 [8 per cell]  2 C 2.31
C 0.0000 0.0610 0.2500 [4 per cell]  6 Zr 2.31
Se 0.0000 0.4157 0.7500 [4 per cell]  6 Zr 2.63-2.71

---

# NaSrPu2Te4

NaSrPu2Te4 after structural relaxation (PBE, Alexandria).

Calculated values
* total magnetization: 11.00 μB per formula unit
* total energy: -6.754 eV per atom

Cell lengths 7.8482, 4.5492, 8.0151 Å; angles 90.00, 109.05, 90.00 degrees
Last column: nearest neighbours and their distance in Å.
Space group P2/m (No. 10)
Unique sites:
Na 0.0000 0.0000 0.0000 [1 per cell]  6 Te 3.28-3.30
Sr 0.5000 0.5000 0.0000 [1 per cell]  6 Te 3.31
Pu 0.0000 0.5000 0.5000 [1 per cell]  6 Te 3.15-3.17
Pu 0.5000 0.0000 0.5000 [1 per cell]  6 Te 3.17-3.18
Te 0.2427 0.0000 0.7356 [2 per cell]  3 Pu 3.17-3.18, 1 Na 3.28, 2 Sr 3.31
Te 0.2539 0.5000 0.2658 [2 per cell]  3 Pu 3.15-3.17, 2 Na 3.30, 1 Sr 3.31